Model 1:
CrCd2Ni | GGA-PBE | relaxed

abc: 5.4578 5.4578 5.4578
angles: 147.06 129.28 61.81
Last column: magnetic moment on the atom in μB.
Fractional positions:
Ni 0.2630 0.7630 0.5000  0.33
Cd 0.0225 0.0225 0.0000  0.00
Cd 0.7445 0.2445 0.5000  -0.02
Cr 0.4699 0.4699 0.0000  3.26

## Properties
- size of the total moment (μB/f.u.) = 3.83

Model 2:
CrCd2Ni | GGA-PBE | relaxed

abc: 3.2999 3.2999 6.2068
angles: 90.00 90.00 90.00
Last column: magnetic moment on the atom in μB.
Fractional positions:
Ni 0.5000 0.5000 0.7500  -0.02
Cd 0.0000 0.0000 0.9831  -0.01
Cd 0.0000 0.0000 0.5169  -0.01
Cr 0.5000 0.5000 0.2500  3.54

## Properties
- size of the total moment (μB/f.u.) = 3.82

Q: What are the energies relative to the best structure? A: model 1 7; model 2 0, in meV/atom.

Model 1:
YTaZn2 | GGA-PBE | relaxed

abc: 4.8178 4.8178 5.7847
angles: 80.12 80.12 38.15
Fractional positions:
Ta 0.7500 0.7500 0.7500
Y 0.2500 0.2500 0.2500
Zn 0.0071 0.0071 0.9464
Zn 0.4929 0.4929 0.5536

## Properties
- size of the total moment (μB/f.u.) = 0.00

Model 2:
YTaZn2 | GGA-PBE | relaxed

abc: 3.0536 3.0536 8.0146
angles: 90.00 90.00 89.99
Fractional positions:
Zn 0.0000 0.0000 0.0212
Zn 0.0000 0.0000 0.4788
Y 0.5000 0.5000 0.7500
Ta 0.5000 0.5000 0.2500

## Properties
- size of the total moment (μB/f.u.) = 0.00

Q: What are the energies relative to the best structure? A: model 1 186; model 2 0, in meV/atom.

Model 1:
ZrOsAu | GGA-PBE | relaxed

abc: 4.7206 4.7206 2.7473
angles: 90.00 90.00 120.00
Fractional positions:
Au 0.0000 0.0000 0.0113
Os 0.3333 0.6667 0.3411
Zr 0.6667 0.3333 0.6476

## Properties
- size of the total moment (μB/f.u.) = 0.00

Model 2:
ZrOsAu | GGA-PBE | relaxed

abc: 5.2542 5.2541 3.4148
angles: 71.04 71.04 37.93
Fractional positions:
Au 0.9996 0.9996 0.0004
Os 0.3227 0.3227 0.6773
Zr 0.6777 0.6777 0.3223

## Properties
- size of the total moment (μB/f.u.) = 0.00

Q: What are the energies relative to the best structure? A: model 1 114; model 2 0, in meV/atom.

Model 1:
TaReRh2 | GGA-PBE | relaxed

abc: 9.2689 9.2689 9.2689
angles: 17.37 17.37 17.37
Fractional positions:
Rh 0.9979 0.9979 0.9979
Rh 0.7502 0.7502 0.7502
Ta 0.4972 0.4972 0.4972
Re 0.2548 0.2548 0.2548

## Properties
- size of the total moment (μB/f.u.) = 0.00

Model 2:
TaReRh2 | GGA-PBE | relaxed

abc: 2.7842 2.7842 7.9261
angles: 90.00 90.00 90.00
Fractional positions:
Rh 0.0000 0.0000 0.9925
Rh 0.5000 0.5000 0.2481
Re 0.5000 0.5000 0.7666
Ta 0.0000 0.0000 0.4927

## Properties
- size of the total moment (μB/f.u.) = 0.00

Q: What are the energies relative to the best structure? A: model 1 127; model 2 0, in meV/atom.

Model 1:
ReRu2W | GGA-PBE | relaxed

abc: 9.1875 9.1875 9.1875
angles: 17.21 17.21 17.21
Fractional positions:
W 0.2500 0.2500 0.2500
Ru 0.4987 0.4987 0.4987
Ru 0.0013 0.0013 0.0013
Re 0.7500 0.7500 0.7500

## Properties
- size of the total moment (μB/f.u.) = 0.00

Model 2:
ReRu2W | GGA-PBE | relaxed

abc: 4.3967 4.3967 4.3963
angles: 60.00 60.00 60.00
Last column: magnetic moment on the atom in μB.
Fractional positions:
W 0.7500 0.7500 0.7499  0.03
Re 0.5000 0.5000 0.5001  0.06
Ru 0.2501 0.2501 0.2498  0.73
Ru 0.0000 0.0000 0.0001  0.62

## Properties
- size of the total moment (μB/f.u.) = 1.49

Q: What are the energies relative to the best structure? A: model 1 0; model 2 232, in meV/atom.

Model 1:
PbW3 | GGA-PBE | relaxed

abc: 5.0623 5.0623 4.8940
angles: 75.65 75.65 36.68
Fractional positions:
W 0.5000 0.5000 0.5000
W 0.2343 0.2343 0.2808
W 0.7657 0.7657 0.7192
Pb 0.0000 0.0000 0.0000

## Properties
- size of the total moment (μB/f.u.) = 0.00

Model 2:
PbW3 | GGA-PBE | relaxed

abc: 5.0848 5.0848 5.0848
angles: 90.00 90.00 90.00
Fractional positions:
W 0.5000 0.0000 0.0000
W 0.0000 0.5000 0.0000
W 0.0000 0.0000 0.5000
Pb 0.0000 0.0000 0.0000

## Properties
- size of the total moment (μB/f.u.) = 0.00

Q: What are the energies relative to the best structure? A: model 1 0; model 2 3700, in meV/atom.

Model 1:
LaY2Pb2 | GGA-PBE | relaxed

abc: 9.0921 9.0921 3.7386
angles: 90.00 90.00 90.00
Fractional positions:
Y 0.1448 0.6448 0.5000
Y 0.3552 0.1448 0.5000
Y 0.6448 0.8552 0.5000
Y 0.8552 0.3552 0.5000
Pb 0.6541 0.1541 0.0000
Pb 0.8459 0.6541 0.0000
Pb 0.1541 0.3459 0.0000
Pb 0.3459 0.8459 0.0000
La 0.0000 0.0000 0.0000
La 0.5000 0.5000 0.0000

## Properties
- size of the total moment (μB/f.u.) = 0.00

Model 2:
LaY2Pb2 | GGA-PBE | relaxed

abc: 5.8442 5.8442 6.6016
angles: 63.73 63.73 90.00
Last column: magnetic moment on the atom in μB.
Fractional positions:
Y 0.6672 0.6672 0.6656  0.24
Y 0.3328 0.3328 0.3344  0.24
Pb 0.7500 0.2500 0.5000  -0.01
Pb 0.2500 0.7500 0.5000  -0.01
La 0.0000 0.0000 0.0000  0.20

## Properties
- size of the total moment (μB/f.u.) = 1.47

Q: What are the energies relative to the best structure? A: model 1 0; model 2 363, in meV/atom.

Model 1:
Mg2ScTa | GGA-PBE | relaxed

abc: 7.9080 7.9080 6.2428
angles: 50.70 50.70 90.00
Fractional positions:
Mg 0.6313 0.1250 0.2500
Mg 0.3750 0.3687 0.7500
Mg 0.8750 0.8813 0.7500
Mg 0.1187 0.6250 0.2500
Sc 0.2500 0.7500 0.5000
Sc 0.5000 0.5000 0.0000
Ta 0.0000 0.0000 0.0000
Ta 0.7500 0.2500 0.5000

## Properties
- size of the total moment (μB/f.u.) = 0.00

Model 2:
Mg2ScTa | GGA-PBE | relaxed

abc: 5.4587 5.4587 2.9837
angles: 90.00 90.00 112.80
Fractional positions:
Mg 0.5000 0.5000 0.0000
Mg 0.0000 0.0000 0.0000
Ta 0.0000 0.5000 0.5000
Sc 0.5000 0.0000 0.5000

## Properties
- size of the total moment (μB/f.u.) = 0.00

Q: What are the energies relative to the best structure? A: model 1 458; model 2 0, in meV/atom.